Model A:
Here is a geometry-optimized KBa2F2 structure from Alexandria via LeMat-Bulk. Energies are from PBE.

a b c (Å): 10.5571 10.5571 10.5571
angles (deg): 155.14 155.14 35.44
Closest atoms and distances in Å follow each position.
Fractional positions:
K  0.0000  0.0000  0.0000  4 K 4.54, 8 Ba 4.81
Ba  0.3220  0.3220  0.0000  4 F 2.69
Ba  0.6780  0.6780  0.0000  4 F 2.69
F  0.2500  0.7500  0.5000  4 Ba 2.69
F  0.7500  0.2500  0.5000  4 Ba 2.69

Model B:
Here is a geometry-optimized KBa2F2 structure from Alexandria via LeMat-Bulk. Energies are from PBE.

a b c (Å): 11.0619 11.0619 3.7061
angles (deg): 90.00 90.00 90.00
Closest atoms and distances in Å follow each position.
Fractional positions:
K  0.0000  0.0000  0.0000  2 K 3.71
K  0.5000  0.5000  0.0000  2 K 3.71
Ba  0.1093  0.3907  0.0000  4 F 2.81
Ba  0.3907  0.8907  0.0000  4 F 2.81
Ba  0.6093  0.1093  0.0000  4 F 2.81
Ba  0.8907  0.6093  0.0000  4 F 2.81
F  0.0787  0.5787  0.5000  1 F 2.46
F  0.4213  0.0787  0.5000  1 F 2.46
F  0.5787  0.9213  0.5000  1 F 2.46
F  0.9213  0.4213  0.5000  1 F 2.46

Ordering by calculated energy gives the sequence model A, model B, with the first entry being the most stable.